VASP calculation (PBEsol) on a relaxed structure of TeMoAs2.

As for the uncorrected energy: -5.837 eV/atom. Its formation energy (no corrections) is 208 kJ/mol of formula units. The value obtained for the magnetic moment is 0.0 μB/f.u.

It has space group Pmmm (No. 47), with a = 3.276 Å, b = 4.572 Å, c = 4.918 Å, α = 90.00°, β = 90.00° and γ = 90.00°. The distinct sites, in fractional coordinates, are Te at (0.000, 0.000, 0.000), Mo at (0.500, 0.500, 0.000), As at (0.000, 0.500, 0.500) and As at (0.500, 0.000, 0.500).

VASP calculation (PBEsol) on a relaxed structure of TeMoAs3.

As for the uncorrected energy: -5.739 eV/atom. Its formation energy (no corrections) is 185 kJ/mol of formula units. The value obtained for the magnetic moment is 0.0 μB/f.u.

It has space group Pm-3m (No. 221), with a = 4.844 Å, b = 4.844 Å, c = 4.844 Å, α = 90.00°, β = 90.00° and γ = 90.00°. The distinct sites, in fractional coordinates, are Te at (0.000, 0.000, 0.000), Mo at (0.500, 0.500, 0.500) and As at (0.000, 0.500, 0.500).

VASP calculation (PBEsol) on a relaxed structure of Te4MoAs.

As for the uncorrected energy: -3.951 eV/atom. Its formation energy (no corrections) is 702 kJ/mol of formula units. The value obtained for the magnetic moment is 3.4 μB/f.u.

It has space group F-43m (No. 216), with a = 8.622 Å, b = 8.622 Å, c = 8.622 Å, α = 90.00°, β = 90.00° and γ = 90.00°. The distinct sites, in fractional coordinates, are Te at (0.125, 0.125, 0.125), Mo at (0.000, 0.000, 0.500) and As at (0.250, 0.250, 0.750).

VASP calculation (PBEsol) on a relaxed structure of TeMoAs2.

As for the uncorrected energy: -6.365 eV/atom. Its formation energy (no corrections) is 4 kJ/mol of formula units. The value obtained for the magnetic moment is 0.0 μB/f.u.

It has space group Cm (No. 8), with a = 8.216 Å, b = 3.343 Å, c = 6.409 Å, α = 90.00°, β = 100.37° and γ = 90.00°. The distinct sites, in fractional coordinates, are Te at (0.000, 0.000, 0.000), Mo at (0.228, 0.500, 0.267), As at (0.242, 0.000, 0.594) and As at (0.455, 0.000, 0.387).